Here is a relaxed structure of CrFeMoIr from Alexandria. Energies are from PBE.

Cell: 4.2609 4.2609 4.2609 Å, 60.00 60.00 60.00°
Closest atoms and distances in Å follow each position.
Fractional coordinates of all 4 atoms:
Cr 0.0000 0.0000 0.0000  4 Mo 2.61, 4 Ir 2.61
Fe 0.5000 0.5000 0.5000  4 Mo 2.61, 4 Ir 2.61
Mo 0.7500 0.7500 0.7500  4 Cr 2.61, 4 Fe 2.61
Ir 0.2500 0.2500 0.2500  4 Cr 2.61, 4 Fe 2.61

Values from the calculation:
Spin magnetization   4.263 μB per cell
E_tot   -9.40 eV/atom
N(E_F)   5.02 states/eV/f.u.
Space group   F-43m (216)
Density   12.02 Mg/m³

***

Here is a relaxed structure of Cr3Ir from Alexandria. Energies are from PBE.

Cell: 3.6869 3.6869 3.6869 Å, 90.00 90.00 90.00°
Closest atoms and distances in Å follow each position.
Fractional coordinates of all 4 atoms:
Cr 0.0000 0.0000 0.5000  8 Cr 2.61, 4 Ir 2.61
Cr 0.0000 0.5000 0.0000  8 Cr 2.61, 4 Ir 2.61
Cr 0.5000 0.0000 0.0000  8 Cr 2.61, 4 Ir 2.61
Ir 0.5000 0.5000 0.5000  12 Cr 2.61

Values from the calculation:
Spin magnetization   0.000 μB per cell
E_tot   -9.42 eV/atom
N(E_F)   4.29 states/eV/f.u.
Space group   Pm-3m (221)
Density   11.54 Mg/m³